The following is a PBE+U calculation of a relaxed structure of AcMgMoO4, from Alexandria via LeMat-Bulk.

Lattice parameters (Å, degrees): 6.754 6.754 6.754 121.35 116.79 91.67
Positions (direct):
Ac 0.000 0.000 0.000
Ac 0.500 0.000 0.500
Mg 0.354 0.604 0.750
Mg 0.646 0.396 0.250
Mo 0.000 0.000 0.500
Mo 0.000 0.500 0.000
O 0.203 0.736 0.468
O 0.232 0.264 0.968
O 0.233 0.240 0.506
O 0.233 0.727 0.994
O 0.767 0.273 0.006
O 0.767 0.760 0.494
O 0.768 0.736 0.032
O 0.797 0.264 0.532

Output
Total magnetization in Bohr magnetons per cell: 6.00
Total energy in eV/atom: -6.967
Space group: Imma, No. 74